# 1
## Pm8Si3Te4I (PBE)

Data for a relaxed structure of Pm8Si3Te4I.

Results
- formation energy (no corrections) (eV per atom) = -1.1602
- E (eV per atom) = -5.4346
- space-group type = R-3m (166)

Structure (POSCAR):
```
Pm8Si3Te4I
1.0
-3.635 -6.091 -5.117
8.049 -3.025 -2.117
-2.316 0.593 8.414
Pm Si Te I
8 3 4 1
Cartesian
0.979 -6.010 2.967
-0.579 -5.358 -4.177
2.005 -6.410 -1.269
2.677 -3.164 5.358
1.120 -2.513 -1.787
3.757 -3.441 1.427
0.093 -2.113 2.449
-1.659 -5.082 -0.247
1.049 -4.261 0.590
2.867 -1.216 3.148
2.207 -4.558 -3.617
-1.158 0.297 4.207
-2.975 -2.749 1.648
0.000 0.000 0.000
-1.817 -3.046 -2.558
4.024 -1.513 -1.058
```



# 2
## Pm4SiTeI2 (PBE)

Data for a relaxed structure of Pm4SiTeI2.

Results
- formation energy (no corrections) (eV per atom) = -1.0628
- E (eV per atom) = -4.8962
- space-group type = P2/m (10)

Structure (POSCAR):
```
Pm4SiTeI2
1.0
4.357 0.000 0.000
0.000 7.794 0.168
0.000 -2.694 7.463
Te I Pm Si
1 2 4 1
Cartesian
0.000 0.000 0.000
0.000 2.550 3.815
2.178 -1.347 3.731
0.000 0.117 6.031
0.000 4.983 1.600
2.178 1.543 1.585
2.178 3.557 6.045
2.178 3.897 0.084
```



- Which value of E does entry 2 give?
  -4.8962 eV per atom



- What is the formula in the second record?
  Pm4SiTeI2



- Number 2 is which compound?
  Pm4SiTeI2